VASP calculation (GGA+U) on a geometry-optimized Ni3PdO6 structure.

Results
The space group is R3, No. 146. The magnetic moment is 4.000 μB per formula unit. Its raw total energy is -0.3637 Ry per atom.

a = 5.065 Å, b = 5.065 Å, c = 5.415 Å
α = 62.11°, β = 62.11°, γ = 60.00°
Each line ends with the local moment (μB).
Element x y z (fractional)
Pd1 0.846 0.846 0.463  -0.07
O1 0.946 0.551 0.252  -0.10
O2 0.049 0.439 0.750  -0.06
O3 0.439 0.761 0.750  -0.06
O4 0.251 0.946 0.252  -0.10
O5 0.551 0.251 0.252  -0.10
O6 0.761 0.049 0.750  -0.06
Ni1 0.354 0.354 0.939  1.66
Ni2 0.154 0.154 0.537  1.43
Ni3 0.648 0.648 0.056  1.56